Entry w
! La2BiP2 PBE optimized geometry; values from VASP
! **N(E_F)**: 1.774 states/eV/f.u.
! **Total magnetization**: 0.000 μB per atom
&SYSTEM
  ibrav = 0, nat = 5, ntyp = 3
/
ATOMIC_SPECIES
P 30.97 P.upf
Bi 208.98 Bi.upf
La 138.91 La.upf
ATOMIC_POSITIONS angstrom
P 4.0400 2.0200 4.1749
P 2.0200 4.0400 4.1749
Bi 0.0000 0.0000 0.0000
La 2.0200 2.0200 1.9910
La 4.0400 4.0400 6.3589
CELL_PARAMETERS angstrom
4.0400 0.0000 0.0000
0.0000 4.0400 0.0000
2.0200 2.0200 8.3498



Entry x
! La2BiP2 PBE optimized geometry; values from VASP
! **N(E_F)**: 2.697 states/eV/f.u.
! **Total magnetization**: 0.000 μB per atom
&SYSTEM
  ibrav = 0, nat = 10, ntyp = 3
/
ATOMIC_SPECIES
P 30.97 P.upf
Bi 208.98 Bi.upf
La 138.91 La.upf
ATOMIC_POSITIONS angstrom
P 3.6056 -6.3473 -0.8581
P 0.6806 -7.7247 -3.7035
P -1.4915 -4.0325 -3.2579
P 1.4335 -2.6551 -0.4125
Bi 0.0000 0.0000 0.0000
Bi 1.0570 -5.1899 -2.0580
La 2.1273 -5.1771 1.4262
La 1.3979 -8.6566 -0.9851
La -2.1620 -6.8283 -2.5464
La -1.4326 -3.3488 -0.1352
CELL_PARAMETERS angstrom
-3.6320 -4.8783 -5.2523
5.7461 -5.5015 1.1362
-2.1488 -1.6256 2.9957



Preferred: entry x; penalty for the next structure: 169 meV/atom.



Entry w
! LaBi3P PBE optimized geometry; values from VASP
! **N(E_F)**: 4.423 states/eV/f.u.
! **Total magnetization**: 0.000 μB per atom
&SYSTEM
  ibrav = 0, nat = 5, ntyp = 3
/
ATOMIC_SPECIES
P 30.97 P.upf
Bi 208.98 Bi.upf
La 138.91 La.upf
ATOMIC_POSITIONS angstrom
P 0.0000 0.0000 0.0000
Bi 1.7119 1.2165 1.7341
Bi -2.1058 1.2182 1.2243
Bi -0.2288 -2.1103 1.7063
La -0.6227 0.3244 4.6647
CELL_PARAMETERS angstrom
-0.4576 -4.2207 3.4126
3.4238 2.4330 3.4682
-4.2117 2.4364 2.4486



Entry x
! LaBi3P PBE optimized geometry; values from VASP
! **N(E_F)**: 4.135 states/eV/f.u.
! **Total magnetization**: 0.506 μB per atom
&SYSTEM
  ibrav = 0, nat = 5, ntyp = 3
/
ATOMIC_SPECIES
P 30.97 P.upf
Bi 208.98 Bi.upf
La 138.91 La.upf
ATOMIC_POSITIONS angstrom
P -4.8713 -1.7674 1.3731
Bi -1.1180 -2.8191 -0.6183
Bi -1.0748 -0.2087 2.8950
Bi -2.6785 1.2605 -0.9035
La 0.0000 0.0000 0.0000
CELL_PARAMETERS angstrom
-5.3570 2.5209 -1.8070
-2.2361 -5.6382 -1.2367
-2.1495 -0.4175 5.7900



Preferred: entry w; penalty for the next structure: 1020 meV/atom.



Entry w
! LaBiPS2 PBE optimized geometry; values from VASP
! **N(E_F)**: 3.477 states/eV/f.u.
! **Total magnetization**: 0.000 μB per atom
&SYSTEM
  ibrav = 0, nat = 5, ntyp = 4
/
ATOMIC_SPECIES
P 30.97 P.upf
S 32.06 S.upf
Bi 208.98 Bi.upf
La 138.91 La.upf
ATOMIC_POSITIONS angstrom
P 0.0000 0.0000 2.5993
S 0.0000 2.5783 0.0000
S 2.5783 0.0000 0.0000
Bi 0.0000 0.0000 0.0000
La 2.5783 2.5783 2.5993
CELL_PARAMETERS angstrom
5.1566 0.0000 0.0000
0.0000 5.1566 0.0000
0.0000 0.0000 5.1986



Entry x
! LaBiPS2 PBE optimized geometry; values from VASP
! **N(E_F)**: 8.115 states/eV/f.u.
! **Total magnetization**: 0.048 μB per atom
&SYSTEM
  ibrav = 0, nat = 5, ntyp = 4
/
ATOMIC_SPECIES
P 30.97 P.upf
S 32.06 S.upf
Bi 208.98 Bi.upf
La 138.91 La.upf
ATOMIC_POSITIONS angstrom
P 0.0000 0.0000 2.7987
S 0.0000 2.6916 0.0000
S 2.6916 0.0000 0.0000
Bi 2.6916 2.6916 2.7987
La 0.0000 0.0000 0.0000
CELL_PARAMETERS angstrom
5.3831 0.0000 0.0000
0.0000 5.3831 0.0000
0.0000 0.0000 5.5974



Preferred: entry w; penalty for the next structure: 383 meV/atom.